<one>
Compound: CaCe3Bi4
Source: Alexandria via LeMat-Bulk
Functional: PBE
Structure: relaxed

Space group: No. 59
Volume, Å³ per cell: 688.35

abc: 6.4181 11.1351 9.6319
angles: 90.00 90.00 90.00
Atoms (fractional coordinates):
Ca (0.2500, 0.2500, 0.1721)
Ca (0.7500, 0.7500, 0.8279)
Ce (0.2500, 0.5015, 0.6689)
Ce (0.2500, 0.7500, 0.1583)
Ce (0.2500, 0.9985, 0.6689)
Ce (0.7500, 0.0015, 0.3311)
Ce (0.7500, 0.2500, 0.8417)
Ce (0.7500, 0.4985, 0.3311)
Bi (0.2500, 0.2500, 0.8314)
Bi (0.2500, 0.5087, 0.3371)
Bi (0.2500, 0.7500, 0.8286)
Bi (0.2500, 0.9913, 0.3371)
Bi (0.7500, 0.0087, 0.6629)
Bi (0.7500, 0.2500, 0.1714)
Bi (0.7500, 0.4913, 0.6629)
Bi (0.7500, 0.7500, 0.1686)

---

<two>
Compound: CaCe3Bi4
Source: Alexandria via LeMat-Bulk
Functional: PBE
Structure: relaxed

Space group: No. 65
Volume, Å³ per cell: 276.28

abc: 7.9669 7.9669 4.6166
angles: 90.00 90.00 109.46
Atoms (fractional coordinates):
Ca (0.0000, 0.0000, 0.0000)
Ce (0.0000, 0.5000, 0.5000)
Ce (0.5000, 0.0000, 0.5000)
Ce (0.5000, 0.5000, 0.0000)
Bi (0.2515, 0.7485, 0.0000)
Bi (0.2544, 0.2544, 0.5000)
Bi (0.7456, 0.7456, 0.5000)
Bi (0.7485, 0.2515, 0.0000)

---

Decreasing stability: <two>, <one>